No. 1
Density functional theory data (PBE) for a relaxed structure of InPdPt.

Properties
Formation enthalpy at 0 K (meV/atom): -395
Space group: P2_1/m
ΔE to the lowest computed polymorph (meV per atom): 40

abc: 5.0376 6.8824 6.8822
angles: 87.55 68.36 68.36
Closest atoms and distances in Å follow each position.
Fractional coordinates of all 12 atoms:
Pd 0.3358 0.7027 0.9527  5 In 2.77-3.02, 5 Pt 2.85-2.99, 2 Pd 2.86
Pd 0.6642 0.7973 0.5473  5 In 2.76-3.02, 5 Pt 2.85-2.99, 2 Pd 2.86
Pd 0.6642 0.2973 0.0473  5 In 2.77-3.02, 5 Pt 2.85-2.99, 2 Pd 2.86
Pd 0.3358 0.2027 0.4527  5 In 2.77-3.02, 5 Pt 2.85-2.99, 2 Pd 2.86
In 0.9946 0.5261 0.7761  5 Pd 2.77-3.02, 5 Pt 2.83-2.91
In 0.9946 0.0261 0.2761  5 Pd 2.77-3.02, 5 Pt 2.83-2.91
In 0.0054 0.4739 0.2239  5 Pd 2.76-3.02, 5 Pt 2.83-2.91
In 0.0054 0.9739 0.7239  5 Pd 2.77-3.02, 5 Pt 2.83-2.91
Pt 0.6651 0.3659 0.6159  5 In 2.83-2.91, 5 Pd 2.85-2.99, 2 Pt 2.86
Pt 0.6651 0.8659 0.1159  5 In 2.83-2.91, 5 Pd 2.85-2.99, 2 Pt 2.86
Pt 0.3349 0.6341 0.3841  5 In 2.83-2.91, 5 Pd 2.85-2.99, 2 Pt 2.86
Pt 0.3349 0.1341 0.8841  5 In 2.83-2.91, 5 Pd 2.85-2.99, 2 Pt 2.86

---

No. 2
Density functional theory data (PBE) for a relaxed structure of YCrSe.

Properties
Space group: I4mm
ΔE to the lowest computed polymorph (meV per atom): 162

abc: 5.7370 5.7370 5.7370
angles: 144.92 144.92 50.46
Closest atoms and distances in Å follow each position.
Fractional coordinates of all 3 atoms:
Cr 0.9706 0.9706 0.0000  4 Se 2.67
Se 0.3681 0.3681 0.0000  4 Cr 2.67
Y 0.6613 0.6613 0.0000  5 Se 3.04-3.25, 5 Cr 3.15-3.21

---

No. 3
Density functional theory data (PBE) for a relaxed structure of ScRu3.

Properties
Formation enthalpy at 0 K (meV/atom): -57
Space group: Pmm2

abc: 2.9306 4.4586 4.6396
angles: 90.00 90.00 90.00
Closest atoms and distances in Å follow each position.
Fractional coordinates of all 4 atoms:
Ru 0.0000 0.0000 0.9698  10 Ru 2.66-2.93, 2 Sc 2.94
Ru 0.5000 0.0000 0.4474  8 Ru 2.66-2.96, 4 Sc 2.68
Ru 0.5000 0.5000 0.8659  4 Sc 2.68-2.81, 8 Ru 2.71-2.96
Sc 0.0000 0.5000 0.3835  10 Ru 2.68-2.94, 2 Sc 2.93

---

No. 4
Density functional theory data (PBE) for a relaxed structure of FeCo2AsH.

Properties
Space group: P4/mmm
Uncorrected energy (eV per atom): -6.160

abc: 3.5632 3.5632 3.6583
angles: 90.00 90.00 90.00
Closest atoms and distances in Å follow each position.
Fractional coordinates of all 5 atoms:
H 0.0000 0.0000 0.0000  4 Co 1.78, 2 Fe 1.83
As 0.5000 0.5000 0.5000  4 Fe 2.52, 8 Co 2.55
Co 0.0000 0.5000 0.0000  2 H 1.78
Co 0.5000 0.0000 0.0000  2 H 1.78
Fe 0.0000 0.0000 0.5000  2 H 1.83

---

No. 5
Density functional theory data (PBE) for a relaxed structure of LaCdCu2.

Properties
Formation enthalpy at 0 K (meV/atom): -123
Space group: Pm

abc: 4.2641 4.0046 5.4329
angles: 68.23 90.00 90.00
Closest atoms and distances in Å follow each position.
Fractional coordinates of all 4 atoms:
Cd 0.5000 0.7677 0.8383  7 Cu 2.84-3.04
Cu 0.0000 0.1925 0.9945  2 Cu 2.46
Cu 0.5000 0.0673 0.2391  2 Cu 2.46
La 0.0000 0.4725 0.4281  7 Cu 2.86-3.08

---

No. 6
Density functional theory data (PBE) for a relaxed structure of FeTeRh.

Properties
Space group: I4mm
ΔE to the lowest computed polymorph (meV per atom): 144

abc: 4.6746 4.6746 4.6746
angles: 135.15 135.14 65.30
Closest atoms and distances in Å follow each position.
Fractional coordinates of all 3 atoms:
Fe 0.9947 0.9947 0.0000  1 Te 2.55, 5 Rh 2.68-2.82
Rh 0.3349 0.3349 0.0000  5 Te 2.64-2.84, 5 Fe 2.68-2.82
Te 0.6704 0.6704 0.0000  1 Fe 2.55, 5 Rh 2.64-2.84

---

No. 7
Density functional theory data (PBE) for a relaxed structure of NaInI2O.

Properties
Space group: P4/mmm
ΔE to the lowest computed polymorph (meV per atom): 0

abc: 6.1018 6.1018 4.0782
angles: 90.00 90.00 90.00
Closest atoms and distances in Å follow each position.
Fractional coordinates of all 5 atoms:
I 0.0000 0.5000 0.0000  2 In 3.05
I 0.5000 0.0000 0.0000  2 In 3.05
Na 0.5000 0.5000 0.5000  8 I 3.67, 2 Na 4.08
O 0.0000 0.0000 0.5000  2 In 2.04
In 0.0000 0.0000 0.0000  2 O 2.04

---

No. 8
Density functional theory data (PBE) for a relaxed structure of Hf2Ga2Ag.

Properties
Formation enthalpy at 0 K (meV/atom): -282
Space group: Cmmm
ΔE to the lowest computed polymorph (meV per atom): 75

abc: 3.1943 4.2223 7.1208
angles: 107.25 90.00 90.00
Closest atoms and distances in Å follow each position.
Fractional coordinates of all 5 atoms:
Hf 0.5000 0.6199 0.2398  6 Ga 2.84-2.97, 4 Ag 3.11
Hf 0.5000 0.3801 0.7602  6 Ga 2.84-2.97, 4 Ag 3.11
Ga 0.0000 0.1964 0.3928  2 Ga 2.57, 1 Ag 2.67, 4 Hf 2.84
Ga 0.0000 0.8036 0.6072  2 Ga 2.57, 1 Ag 2.67, 4 Hf 2.84
Ag 0.0000 0.0000 0.0000  2 Ga 2.67

---

No. 9
Density functional theory data (PBE) for a relaxed structure of Li4Ga7Ag.

Properties
Formation enthalpy at 0 K (meV/atom): -178
Space group: P-1

abc: 5.0996 7.9207 7.3026
angles: 80.83 50.00 100.49
Closest atoms and distances in Å follow each position.
Fractional coordinates of all 12 atoms:
Li 0.6893 0.2919 0.5967  7 Ga 2.70-3.02, 2 Li 2.74-2.88, 1 Ag 2.82
Li 0.3107 0.7081 0.4033  7 Ga 2.70-3.02, 2 Li 2.74-2.88, 1 Ag 2.82
Li 0.8086 0.7056 0.8912  6 Ga 2.70-3.02, 2 Li 2.74-2.88, 1 Ag 2.79
Li 0.1914 0.2944 0.1088  6 Ga 2.70-3.02, 2 Li 2.74-2.88, 1 Ag 2.79
Ga 0.6994 0.9354 0.5328  3 Ga 2.54-2.74
Ga 0.3006 0.0646 0.4672  3 Ga 2.54-2.74
Ga 0.0623 0.6506 0.1645  4 Ga 2.58-2.86, 2 Li 2.78-2.83
Ga 0.9377 0.3494 0.8355  4 Ga 2.58-2.86, 2 Li 2.78-2.83
Ga 0.5127 0.5878 0.6918  3 Ga 2.54-2.82, 3 Li 2.70-2.83
Ga 0.5000 0.0000 0.0000  2 Ag 2.55, 2 Ga 2.71
Ga 0.4873 0.4122 0.3082  3 Ga 2.54-2.82, 3 Li 2.70-2.83
Ag 0.0000 0.0000 0.0000  2 Ga 2.55, 4 Li 2.79-2.82

---

No. 10
Density functional theory data (PBE) for a relaxed structure of Mg2POs.

Properties
Formation enthalpy at 0 K (meV/atom): -113
Space group: Imm2

abc: 5.4543 5.4543 5.4543
angles: 146.71 130.25 61.18
Closest atoms and distances in Å follow each position.
Fractional coordinates of all 4 atoms:
Mg 0.0236 0.0236 0.0000  4 Os 2.83, 2 P 2.90, 6 Mg 3.00-3.17
Mg 0.7295 0.2295 0.5000  4 P 2.82, 2 Os 2.95, 4 Mg 3.00-3.12
Os 0.4628 0.4628 0.0000  2 P 2.29
P 0.2841 0.7841 0.5000  2 Os 2.29

---

no.,volume (Å³ per cell),theoretical density (g/cm³)
1,205.0,13.5
2,62.1,5.9
3,60.6,9.5
4,46.4,8.9
5,86.2,7.3
6,50.1,9.5
7,151.8,4.5
8,91.7,10.9
9,206.7,5.0
10,67.3,6.7